# 1
TmAl6Ni6 | GGA-PBE | relaxed

Lattice parameters (Å, degrees): 4.940 6.472 6.472 79.75 67.56 67.56
Sites, in units of the cell vectors:
Ni1 0.500 0.233 0.767
Ni2 0.500 0.500 0.000
Ni3 0.000 0.500 0.000
Ni4 0.000 0.000 0.500
Ni5 0.500 0.767 0.233
Ni6 0.500 0.000 0.500
Al1 0.000 0.340 0.660
Al2 0.693 0.807 0.807
Al3 0.000 0.660 0.340
Al4 0.307 0.193 0.193
Al5 0.347 0.653 0.653
Al6 0.653 0.347 0.347
Tm1 0.000 0.000 0.000

Output
space-group type: No. 71
total DFT energy (no corrections): -5.335 eV per atom
formation enthalpy at 0 K: -0.60 eV/atom


# 2
Tm3Al2Ni6 | GGA-PBE | relaxed

Lattice parameters (Å, degrees): 7.665 7.665 7.665 109.47 109.47 109.47
Sites, in units of the cell vectors:
Ni1 0.665 0.335 0.000
Ni2 0.335 0.670 0.335
Ni3 0.000 0.665 0.335
Ni4 0.665 0.665 0.330
Ni5 0.330 0.665 0.665
Ni6 0.670 0.335 0.335
Ni7 0.335 0.000 0.665
Ni8 0.335 0.335 0.670
Ni9 0.335 0.665 0.000
Ni10 0.665 0.330 0.665
Ni11 0.665 0.000 0.335
Ni12 0.000 0.335 0.665
Tm1 0.707 0.707 0.000
Tm2 0.707 0.000 0.707
Tm3 0.000 0.707 0.707
Tm4 0.293 0.000 0.293
Tm5 0.293 0.293 0.000
Tm6 0.000 0.293 0.293
Al1 0.500 0.000 0.000
Al2 0.000 0.500 0.000
Al3 0.000 0.000 0.500
Al4 0.500 0.500 0.500

Output
space-group type: No. 229
total DFT energy (no corrections): -5.652 eV per atom
formation enthalpy at 0 K: -0.60 eV/atom


# 3
TmAl2Ni5 | GGA-PBE | relaxed

Lattice parameters (Å, degrees): 3.580 6.069 6.069 65.17 72.85 72.85
Sites, in units of the cell vectors:
Ni1 0.632 0.175 0.561
Ni2 0.632 0.561 0.175
Ni3 0.000 0.500 0.500
Ni4 0.368 0.439 0.825
Ni5 0.368 0.825 0.439
Al1 0.243 0.257 0.257
Al2 0.757 0.743 0.743
Tm1 0.000 0.000 0.000

Output
space-group type: No. 71
total DFT energy (no corrections): -5.512 eV per atom
formation enthalpy at 0 K: -0.40 eV/atom


# 4
TmAlNi3 | GGA-PBE | relaxed

Lattice parameters (Å, degrees): 4.363 5.412 7.001 90.00 90.00 90.00
Sites, in units of the cell vectors:
Ni1 0.000 0.250 0.250
Ni2 0.500 0.500 0.000
Ni3 0.000 0.250 0.750
Ni4 0.500 0.000 0.500
Ni5 0.000 0.750 0.750
Ni6 0.000 0.750 0.250
Tm1 0.500 0.000 0.000
Tm2 0.500 0.500 0.500
Al1 0.000 0.000 0.500
Al2 0.000 0.500 0.000

Output
space-group type: No. 65
total DFT energy (no corrections): -5.145 eV per atom
formation enthalpy at 0 K: -0.03 eV/atom


# 5
Tm2Al3Ni4 | GGA-PBE | relaxed

Lattice parameters (Å, degrees): 5.404 6.875 8.027 90.00 109.67 90.00
Sites, in units of the cell vectors:
Ni1 0.179 0.750 0.859
Ni2 0.830 0.014 0.660
Ni3 0.330 0.486 0.660
Ni4 0.821 0.250 0.141
Ni5 0.170 0.986 0.340
Ni6 0.679 0.750 0.859
Ni7 0.670 0.514 0.340
Ni8 0.321 0.250 0.141
Tm1 0.896 0.413 0.792
Tm2 0.104 0.587 0.208
Tm3 0.396 0.087 0.792
Tm4 0.604 0.913 0.208
Al1 0.516 0.750 0.532
Al2 0.016 0.750 0.532
Al3 0.000 0.000 0.000
Al4 0.984 0.250 0.468
Al5 0.484 0.250 0.468
Al6 0.500 0.500 0.000

Output
space-group type: No. 64
total DFT energy (no corrections): -5.408 eV per atom
formation enthalpy at 0 K: -0.60 eV/atom


# 6
Tm3AlNi3 | GGA-PBE | relaxed

Lattice parameters (Å, degrees): 4.329 8.542 8.542 120.00 90.00 90.00
Sites, in units of the cell vectors:
Al1 0.750 0.333 0.667
Al2 0.250 0.667 0.333
Ni1 0.250 0.180 0.035
Ni2 0.250 0.854 0.820
Ni3 0.250 0.965 0.146
Ni4 0.750 0.820 0.965
Ni5 0.750 0.146 0.180
Ni6 0.750 0.035 0.854
Tm1 0.750 0.919 0.318
Tm2 0.750 0.682 0.601
Tm3 0.750 0.399 0.081
Tm4 0.250 0.081 0.682
Tm5 0.250 0.601 0.919
Tm6 0.250 0.318 0.399

Output
space-group type: No. 176
total DFT energy (no corrections): -5.265 eV per atom
E above lowest polymorph: 216 meV/atom
formation enthalpy at 0 K: -0.34 eV/atom


Q: Which value of formation enthalpy at 0 K does entry 3 give?
A: -0.40 eV/atom


Q: Which formula does entry 3 have?
A: TmAl2Ni5


Q: Look up the formation enthalpy at 0 K of the fourth one.
A: -0.03 eV/atom